[1]
VASP calculation (PBE-GGA) on a relaxed TeSeBr crystal.

abc: 3.8874 7.4576 8.7673
angles: 69.70 88.41 75.15
Atoms (fractional coordinates):
Br 0.3599 0.2654 0.2156
Br 0.6355 0.7314 0.7889
Te 0.7664 0.5316 0.2802
Te 0.2292 0.4651 0.7243
Se 0.1218 0.7408 0.3538
Se 0.8738 0.2560 0.6507

**Volume**: 38.3 Å³ per atom
**Relative energy among the computed polymorphs**: 0.000 eV/atom
**M_tot**: 0.000 μB/atom
**Energy**: -2.9167 eV per atom
**SG**: No. 2
**Energy relative to the elements, uncorrected**: -0.1504 eV/atom

[2]
VASP calculation (PBE-GGA) on a relaxed Li5ThPd7 crystal.

abc: 5.0715 6.7495 6.7495
angles: 81.78 67.93 67.93
Atoms (fractional coordinates):
Pd 0.5062 0.2060 0.7816
Pd 0.3366 0.6634 0.6634
Pd 0.9990 0.3422 0.6598
Pd 0.5062 0.7816 0.2060
Pd 0.9990 0.6598 0.3422
Pd 0.2774 0.2226 0.2226
Pd 0.6477 0.3523 0.3523
Li 0.7364 0.7636 0.7636
Li 0.4946 0.4969 0.0018
Li 0.4946 0.0018 0.4969
Li 0.0067 0.4969 0.0018
Li 0.0067 0.0018 0.4969
Th 0.9887 0.0113 0.0113

**Volume**: 15.3 Å³ per atom
**ΔH_f (0 K)**: -0.4760 eV per atom
**M_tot**: 0.000 μB/atom
**Energy**: -4.5790 eV per atom
**Fermi-level density of states**: 0.31 states/eV/atom
**SG**: No. 44

[3]
VASP calculation (PBE-GGA) on a relaxed KLiIn3 crystal.

abc: 5.2679 5.2679 5.2679
angles: 90.00 90.00 90.00
Atoms (fractional coordinates):
In 0.0000 0.0000 0.5000
In 0.0000 0.5000 0.0000
In 0.5000 0.0000 0.0000
K 0.5000 0.5000 0.5000
Li 0.0000 0.0000 0.0000

**Volume**: 29.2 Å³ per atom
**Relative energy among the computed polymorphs**: 0.194 eV/atom
**ΔH_f (0 K)**: 0.0055 eV per atom
**M_tot**: 0.000 μB/atom
**Energy**: -2.2398 eV per atom
**Fermi-level density of states**: 0.45 states/eV/atom
**SG**: No. 221

[4]
VASP calculation (PBE-GGA) on a relaxed La6PuTl5 crystal.

abc: 5.6605 7.8237 9.7967
angles: 113.53 106.79 90.00
Atoms (fractional coordinates):
Pu 0.0000 0.0000 0.0000
La 0.5000 0.7530 0.0000
La 0.8335 0.0829 0.6670
La 0.1665 0.9171 0.3330
La 0.8335 0.5841 0.6670
La 0.1665 0.4159 0.3330
La 0.5000 0.2470 0.0000
Tl 0.3374 0.8374 0.6748
Tl 0.6626 0.1626 0.3252
Tl 0.6653 0.6653 0.3306
Tl 0.3347 0.3347 0.6694
Tl 0.0000 0.5000 0.0000

**Volume**: 31.5 Å³ per atom
**ΔH_f (0 K)**: -0.3141 eV per atom
**M_tot**: 0.707 μB/atom
**Energy**: -4.9581 eV per atom
**Fermi-level density of states**: 1.61 states/eV/atom
**SG**: No. 71

[5]
VASP calculation (PBE-GGA) on a relaxed CeThSb crystal.

abc: 5.9828 5.9845 5.7383
angles: 121.43 90.01 89.98
Atoms (fractional coordinates):
Th 0.2523 0.3968 0.7878
Th 0.7522 0.6109 0.2154
Ce 0.7522 0.8987 0.7913
Ce 0.2522 0.1090 0.2119
Sb 0.7523 0.2536 0.5009
Sb 0.2522 0.7541 0.5024

**Volume**: 29.2 Å³ per atom
**M_tot**: 0.258 μB/atom
**Energy**: -6.3467 eV per atom
**Fermi-level density of states**: 2.08 states/eV/atom
**SG**: No. 63
**Energy relative to the elements, uncorrected**: -0.5213 eV/atom

[6]
VASP calculation (PBE-GGA) on a relaxed YZr2Mo crystal.

abc: 4.6080 3.2195 6.2168
angles: 77.66 90.00 90.00
Atoms (fractional coordinates):
Zr 0.0000 0.0709 0.0324
Zr 0.0000 0.4291 0.4676
Mo 0.5000 0.2500 0.2500
Y 0.5000 0.7500 0.7500

**Volume**: 22.5 Å³ per atom
**Relative energy among the computed polymorphs**: 0.100 eV/atom
**ΔH_f (0 K)**: 0.1694 eV per atom
**M_tot**: 0.000 μB/atom
**Energy**: -8.4284 eV per atom
**Fermi-level density of states**: 1.36 states/eV/atom
**SG**: No. 10

[7]
VASP calculation (PBE-GGA) on a relaxed ScMo5W6 crystal.

abc: 4.5084 6.3832 7.8055
angles: 114.13 106.79 90.00
Atoms (fractional coordinates):
W 0.8304 0.0835 0.6608
W 0.5000 0.7444 0.0000
W 0.1696 0.9165 0.3392
W 0.5000 0.2556 0.0000
W 0.1696 0.4227 0.3392
W 0.8304 0.5773 0.6608
Mo 0.0000 0.5000 0.0000
Mo 0.3337 0.3337 0.6675
Mo 0.6663 0.6663 0.3325
Mo 0.6663 0.1663 0.3325
Mo 0.3337 0.8337 0.6675
Sc 0.0000 0.0000 0.0000

**Volume**: 16.2 Å³ per atom
**ΔH_f (0 K)**: 0.0297 eV per atom
**M_tot**: 0.000 μB/atom
**Energy**: -11.4874 eV per atom
**Fermi-level density of states**: 0.59 states/eV/atom
**SG**: No. 71

[8]
VASP calculation (PBE-GGA) on a relaxed BaMn2ZnCl8 crystal.

abc: 6.3769 6.1691 8.0575
angles: 89.97 89.98 86.69
Atoms (fractional coordinates):
Cl 0.8284 0.2406 0.2051
Cl 0.6324 0.7021 0.5001
Cl 0.3397 0.2780 0.0000
Cl 0.6603 0.7220 0.0000
Cl 0.1715 0.7592 0.2052
Cl 0.8285 0.2408 0.7948
Cl 0.1716 0.7594 0.7949
Cl 0.3676 0.2979 0.4999
Mn 0.4999 0.4999 0.2304
Mn 0.5001 0.5001 0.7696
Zn 0.0000 0.0000 0.0000
Ba 0.0000 0.0000 0.5000

**Volume**: 26.4 Å³ per atom
**M_tot**: 0.833 μB/atom
**Energy**: -4.3660 eV per atom
**Fermi-level density of states**: 0.00 states/eV/atom
**SG**: No. 10
**Energy relative to the elements, uncorrected**: -1.3403 eV/atom

[9]
VASP calculation (PBE-GGA) on a relaxed Sr2TlHgRh crystal.

abc: 5.7576 5.7576 5.2427
angles: 90.00 90.00 90.00
Atoms (fractional coordinates):
Sr 0.5000 0.0000 0.0000
Sr 0.0000 0.5000 0.0000
Tl 0.0000 0.0000 0.5000
Rh 0.0000 0.0000 0.0000
Hg 0.5000 0.5000 0.5000

**Volume**: 34.8 Å³ per atom
**ΔH_f (0 K)**: -0.2913 eV per atom
**M_tot**: 0.000 μB/atom
**Energy**: -2.9679 eV per atom
**Fermi-level density of states**: 0.48 states/eV/atom
**SG**: No. 123

[10]
VASP calculation (PBE-GGA) on a relaxed AcNdRuCl crystal.

abc: 4.1429 4.1427 8.2922
angles: 90.02 104.44 120.01
Atoms (fractional coordinates):
Cl 0.9579 0.3772 0.3494
Ac 0.5041 0.1498 0.6694
Nd 0.1061 0.9510 0.0728
Ru 0.3098 0.5528 0.8781

**Volume**: 29.5 Å³ per atom
**M_tot**: 0.000 μB/atom
**Energy**: -5.8463 eV per atom
**Fermi-level density of states**: 0.72 states/eV/atom
**SG**: No. 160
**Energy relative to the elements, uncorrected**: -0.8466 eV/atom

[11]
VASP calculation (PBE-GGA) on a relaxed Hf2ScZn2 crystal.

abc: 7.6060 7.6060 3.3865
angles: 90.00 90.00 90.00
Atoms (fractional coordinates):
Zn 0.8764 0.6236 0.0000
Zn 0.1236 0.3764 0.0000
Zn 0.3764 0.8764 0.0000
Zn 0.6236 0.1236 0.0000
Hf 0.8265 0.3265 0.5000
Hf 0.6735 0.8265 0.5000
Hf 0.1735 0.6735 0.5000
Hf 0.3265 0.1735 0.5000
Sc 0.5000 0.5000 0.0000
Sc 0.0000 0.0000 0.0000

**Volume**: 19.6 Å³ per atom
**Relative energy among the computed polymorphs**: 0.090 eV/atom
**ΔH_f (0 K)**: -0.1103 eV per atom
**M_tot**: 0.000 μB/atom
**Energy**: -5.8676 eV per atom
**Fermi-level density of states**: 1.99 states/eV/atom
**SG**: No. 127

[12]
VASP calculation (PBE-GGA) on a relaxed Ga2TcOsO crystal.

abc: 4.9426 3.6332 4.9426
angles: 90.00 90.00 90.00
Atoms (fractional coordinates):
Tc 0.0000 0.0000 0.0000
Ga 0.0000 0.0000 0.5000
Ga 0.5000 0.0000 0.0000
O 0.0000 0.5000 0.0000
Os 0.5000 0.5000 0.5000

**Volume**: 17.8 Å³ per atom
**M_tot**: 0.497 μB/atom
**Energy**: -5.8679 eV per atom
**Fermi-level density of states**: 0.85 states/eV/atom
**SG**: No. 123
**Energy relative to the elements, uncorrected**: 0.6536 eV/atom